w) # CdSb2OsI (GGA-PBE, optimized geometry)
# - Fermi-level density of states: 4.406 states/eV/cell
# - Spin magnetization: 0.000 μB per atom
data_CdSb2OsI
_chemical_formula_sum 'Cd1 Sb2 Os1 I1'
_space_group_name_H-M_alt 'P 1'
_space_group_IT_number 1
_space_group_name_Hall 'P 1'
_cell_length_a 5.087
_cell_length_b 5.087
_cell_length_c 5.920
_cell_angle_alpha 90.00
_cell_angle_beta 90.00
_cell_angle_gamma 90.00
loop_
_atom_site_label
_atom_site_type_symbol
_atom_site_fract_x
_atom_site_fract_y
_atom_site_fract_z
_atom_site_occupancy
Cd1 Cd 0.000 0.000 0.000 1
Sb1 Sb 0.000 0.500 0.500 1
Sb2 Sb 0.500 0.000 0.500 1
Os1 Os 0.500 0.500 0.500 1
I1 I 0.500 0.500 0.000 1

x) # CdSb2OsI (GGA-PBE, optimized geometry)
# - Fermi-level density of states: 5.639 states/eV/cell
# - Spin magnetization: 0.529 μB per atom
data_CdSb2OsI
_chemical_formula_sum 'Cd1 Sb2 Os1 I1'
_space_group_name_H-M_alt 'P 1'
_space_group_IT_number 1
_space_group_name_Hall 'P 1'
_cell_length_a 5.480
_cell_length_b 5.480
_cell_length_c 5.623
_cell_angle_alpha 90.00
_cell_angle_beta 90.00
_cell_angle_gamma 90.00
loop_
_atom_site_label
_atom_site_type_symbol
_atom_site_fract_x
_atom_site_fract_y
_atom_site_fract_z
_atom_site_occupancy
Cd1 Cd 0.000 0.000 0.000 1
Sb1 Sb 0.000 0.500 0.000 1
Sb2 Sb 0.500 0.000 0.000 1
Os1 Os 0.500 0.500 0.500 1
I1 I 0.000 0.000 0.500 1

The structure with the most favorable energy is w); the runner-up is 117.0 kJ/mol of atoms above it.

w) # CdPI (GGA-PBE, optimized geometry)
# - Fermi-level density of states: 0.690 states/eV/cell
# - Spin magnetization: 0.000 μB per atom
data_CdPI
_chemical_formula_sum 'Cd1 P1 I1'
_space_group_name_H-M_alt 'P 1'
_space_group_IT_number 1
_space_group_name_Hall 'P 1'
_cell_length_a 4.438
_cell_length_b 4.438
_cell_length_c 5.844
_cell_angle_alpha 90.00
_cell_angle_beta 90.00
_cell_angle_gamma 120.00
loop_
_atom_site_label
_atom_site_type_symbol
_atom_site_fract_x
_atom_site_fract_y
_atom_site_fract_z
_atom_site_occupancy
Cd1 Cd 0.000 0.000 0.000 1
P1 P 0.333 0.667 0.047 1
I1 I 0.333 0.667 0.486 1

x) # CdPI (GGA-PBE, optimized geometry)
# - Spin magnetization: 0.000 μB per atom
data_CdPI
_chemical_formula_sum 'Cd2 P2 I2'
_space_group_name_H-M_alt 'P 1'
_space_group_IT_number 1
_space_group_name_Hall 'P 1'
_cell_length_a 3.736
_cell_length_b 7.456
_cell_length_c 8.288
_cell_angle_alpha 114.42
_cell_angle_beta 90.06
_cell_angle_gamma 104.10
loop_
_atom_site_label
_atom_site_type_symbol
_atom_site_fract_x
_atom_site_fract_y
_atom_site_fract_z
_atom_site_occupancy
Cd1 Cd 0.186 0.367 0.144 1
Cd2 Cd 0.814 0.633 0.856 1
P1 P 0.195 0.388 0.454 1
P2 P 0.805 0.612 0.546 1
I1 I 0.397 0.800 0.156 1
I2 I 0.603 0.200 0.844 1

The structure with the most favorable energy is x); the runner-up is 14.2 kJ/mol of atoms above it.

w) # Cd3PI (GGA-PBE, optimized geometry)
# - Fermi-level density of states: 1.474 states/eV/cell
# - Spin magnetization: 0.000 μB per atom
data_Cd3PI
_chemical_formula_sum 'Cd3 P1 I1'
_space_group_name_H-M_alt 'P 1'
_space_group_IT_number 1
_space_group_name_Hall 'P 1'
_cell_length_a 5.303
_cell_length_b 5.303
_cell_length_c 5.303
_cell_angle_alpha 90.00
_cell_angle_beta 90.00
_cell_angle_gamma 90.00
loop_
_atom_site_label
_atom_site_type_symbol
_atom_site_fract_x
_atom_site_fract_y
_atom_site_fract_z
_atom_site_occupancy
Cd1 Cd 0.000 0.000 0.500 1
Cd2 Cd 0.000 0.500 0.000 1
Cd3 Cd 0.500 0.000 0.000 1
P1 P 0.000 0.000 0.000 1
I1 I 0.500 0.500 0.500 1

x) # Cd3PI (GGA-PBE, optimized geometry)
# - Fermi-level density of states: 1.974 states/eV/cell
# - Spin magnetization: 0.000 μB per atom
data_Cd3PI
_chemical_formula_sum 'Cd3 P1 I1'
_space_group_name_H-M_alt 'P 1'
_space_group_IT_number 1
_space_group_name_Hall 'P 1'
_cell_length_a 5.751
_cell_length_b 5.751
_cell_length_c 5.751
_cell_angle_alpha 90.00
_cell_angle_beta 90.00
_cell_angle_gamma 90.00
loop_
_atom_site_label
_atom_site_type_symbol
_atom_site_fract_x
_atom_site_fract_y
_atom_site_fract_z
_atom_site_occupancy
Cd1 Cd 0.000 0.000 0.500 1
Cd2 Cd 0.000 0.500 0.000 1
Cd3 Cd 0.500 0.000 0.000 1
P1 P 0.500 0.500 0.500 1
I1 I 0.000 0.000 0.000 1

The structure with the most favorable energy is w); the runner-up is 98.7 kJ/mol of atoms above it.

w) # CdP2SI (GGA-PBE, optimized geometry)
# - Fermi-level density of states: 5.873 states/eV/cell
# - Spin magnetization: 0.155 μB per atom
data_CdP2SI
_chemical_formula_sum 'Cd1 P2 S1 I1'
_space_group_name_H-M_alt 'P 1'
_space_group_IT_number 1
_space_group_name_Hall 'P 1'
_cell_length_a 5.153
_cell_length_b 5.153
_cell_length_c 4.842
_cell_angle_alpha 90.00
_cell_angle_beta 90.00
_cell_angle_gamma 90.00
loop_
_atom_site_label
_atom_site_type_symbol
_atom_site_fract_x
_atom_site_fract_y
_atom_site_fract_z
_atom_site_occupancy
Cd1 Cd 0.000 0.000 0.000 1
P1 P 0.000 0.500 0.000 1
P2 P 0.500 0.000 0.000 1
S1 S 0.000 0.000 0.500 1
I1 I 0.500 0.500 0.500 1

x) # CdP2SI (GGA-PBE, optimized geometry)
# - Fermi-level density of states: 4.322 states/eV/cell
# - Spin magnetization: 0.237 μB per atom
data_CdP2SI
_chemical_formula_sum 'Cd1 P2 S1 I1'
_space_group_name_H-M_alt 'P 1'
_space_group_IT_number 1
_space_group_name_Hall 'P 1'
_cell_length_a 5.232
_cell_length_b 5.232
_cell_length_c 5.032
_cell_angle_alpha 90.00
_cell_angle_beta 90.00
_cell_angle_gamma 90.00
loop_
_atom_site_label
_atom_site_type_symbol
_atom_site_fract_x
_atom_site_fract_y
_atom_site_fract_z
_atom_site_occupancy
Cd1 Cd 0.000 0.000 0.000 1
P1 P 0.000 0.500 0.500 1
P2 P 0.500 0.000 0.500 1
S1 S 0.500 0.500 0.000 1
I1 I 0.500 0.500 0.500 1

The structure with the most favorable energy is w); the runner-up is 13.8 kJ/mol of atoms above it.